DFT (PBE) results for crystalline Y3TiCr at its relaxed geometry.

Computed properties:
density of states at the Fermi level = 15.55 states/eV per cell
raw total energy = -0.223 hartree per atom
ΔH_f (0 K) = 1.312 eV per atom

Unit cell a=5.2573 b=5.2573 c=5.2573 alpha=90.00 beta=90.00 gamma=90.00
Space group Pm-3m (No. 221)
Unique sites:
1 Y 0.0000 0.0000 0.5000 (multiplicity 3)
2 Ti 0.0000 0.0000 0.0000 (multiplicity 1)
3 Cr 0.5000 0.5000 0.5000 (multiplicity 1)

***

DFT (PBE) results for crystalline YTi2Cr2 at its relaxed geometry.

Computed properties:
density of states at the Fermi level = 11.82 states/eV per cell
raw total energy = -0.294 hartree per atom
ΔH_f (0 K) = 0.287 eV per atom

Unit cell a=7.5844 b=7.5844 c=3.1362 alpha=90.00 beta=90.00 gamma=90.00
Space group P4/mbm (No. 127)
Unique sites:
1 Y 0.0000 0.0000 0.0000 (multiplicity 2)
2 Ti 0.1420 0.3580 0.5000 (multiplicity 4)
3 Cr 0.1398 0.6398 0.0000 (multiplicity 4)

***

DFT (PBE) results for crystalline Y3TiCr at its relaxed geometry.

Computed properties:
density of states at the Fermi level = 9.12 states/eV per cell
raw total energy = -0.245 hartree per atom
ΔH_f (0 K) = 0.725 eV per atom

Unit cell a=5.1822 b=5.1822 c=5.1822 alpha=90.00 beta=90.00 gamma=90.00
Space group Pm-3m (No. 221)
Unique sites:
1 Y 0.0000 0.0000 0.5000 (multiplicity 3)
2 Ti 0.5000 0.5000 0.5000 (multiplicity 1)
3 Cr 0.0000 0.0000 0.0000 (multiplicity 1)